The following is a DFT calculation (PBE) of a relaxed LaY3Pt8 crystal.

## Properties
Formation enthalpy at 0 K in eV/atom: -1.04
SG: P3m1 (156)
VASP energy in eV per atom: -7.098

a = 5.485 Å, b = 5.485 Å, c = 8.966 Å
α = 90.00°, β = 90.00°, γ = 120.00°
Fractional positions:
La  0.000  0.000  0.000
Y  0.000  0.000  0.374
Y  0.667  0.333  0.494
Y  0.667  0.333  0.860
Pt  0.165  0.330  0.680
Pt  0.165  0.835  0.680
Pt  0.333  0.667  0.431
Pt  0.333  0.667  0.932
Pt  0.503  0.005  0.185
Pt  0.503  0.497  0.185
Pt  0.670  0.835  0.680
Pt  0.995  0.497  0.185